Entry 1:
This record from Alexandria describes an optimized crystal structure of NpH8RuPt2. The functional is PBE-GGA.

```
data_NpH8RuPt2
_cell_length_a 5.0462
_cell_length_b 5.0462
_cell_length_c 5.3371
_cell_angle_alpha 90.00
_cell_angle_beta 90.00
_cell_angle_gamma 120.00
_symmetry_space_group_name_H-M 'P -3 m 1'
_symmetry_Int_Tables_number 164
_symmetry_space_group_name_Hall '-P 3 2"'
loop_
_atom_site_label
_atom_site_fract_x
_atom_site_fract_y
_atom_site_fract_z
Np1 0.0000 0.0000 0.0000
H1 0.1847 0.3694 0.3652
H2 0.3333 0.6667 0.8286
Ru1 0.0000 0.0000 0.5000
Pt1 0.3333 0.6667 0.1323
```

Output
Raw total energy   -60.37 eV per cell
Calculated volume   9.81 A^3/atom

---

Entry 2:
This record from Alexandria describes an optimized crystal structure of Np2H6RuPt. The functional is PBE-GGA.

```
data_Np2H6RuPt
_cell_length_a 5.1787
_cell_length_b 5.1787
_cell_length_c 26.4786
_cell_angle_alpha 90.00
_cell_angle_beta 90.00
_cell_angle_gamma 120.00
_symmetry_space_group_name_H-M 'R -3 m'
_symmetry_Int_Tables_number 166
_symmetry_space_group_name_Hall '-R 3 2"'
loop_
_atom_site_label
_atom_site_fract_x
_atom_site_fract_y
_atom_site_fract_z
Np1 0.0000 0.0000 0.1261
Np2 0.0000 0.0000 0.2750
H1 0.0189 0.5094 0.8653
H2 0.0664 0.5332 0.7152
Ru1 0.0000 0.0000 0.0000
Ru2 0.0000 0.0000 0.5000
Pt1 0.0000 0.0000 0.3846
```

Output
Raw total energy   -375.44 eV per cell
Calculated volume   10.25 A^3/atom

---

Entry 3:
This record from Alexandria describes an optimized crystal structure of PuNpH4. The functional is PBE-GGA.

```
data_PuNpH4
_cell_length_a 3.6902
_cell_length_b 3.6902
_cell_length_c 5.2725
_cell_angle_alpha 90.00
_cell_angle_beta 90.00
_cell_angle_gamma 90.00
_symmetry_space_group_name_H-M 'P 4/m m m'
_symmetry_Int_Tables_number 123
_symmetry_space_group_name_Hall '-P 4 2'
loop_
_atom_site_label
_atom_site_fract_x
_atom_site_fract_y
_atom_site_fract_z
Pu1 0.0000 0.0000 0.0000
Np1 0.5000 0.5000 0.5000
H1 0.0000 0.5000 0.2517
```

Output
Raw total energy   -42.11 eV per cell
Calculated volume   11.97 A^3/atom

---

Entry 4:
This record from Alexandria describes an optimized crystal structure of PuNpH2. The functional is PBE-GGA.

```
data_PuNpH2
_cell_length_a 4.1692
_cell_length_b 4.1692
_cell_length_c 2.8748
_cell_angle_alpha 90.00
_cell_angle_beta 90.00
_cell_angle_gamma 90.00
_symmetry_space_group_name_H-M 'P 4/m m m'
_symmetry_Int_Tables_number 123
_symmetry_space_group_name_Hall '-P 4 2'
loop_
_atom_site_label
_atom_site_fract_x
_atom_site_fract_y
_atom_site_fract_z
Pu1 0.0000 0.0000 0.0000
Np1 0.5000 0.5000 0.0000
H1 0.0000 0.5000 0.5000
```

Output
Calculated volume   12.49 A^3/atom
Distance to the lowest polymorph of the same formula   205.4 meV/atom

---

Entry 5:
This record from Alexandria describes an optimized crystal structure of PuNpH2. The functional is PBE-GGA.

```
data_PuNpH2
_cell_length_a 2.9874
_cell_length_b 2.9874
_cell_length_c 21.6881
_cell_angle_alpha 90.00
_cell_angle_beta 90.00
_cell_angle_gamma 120.00
_symmetry_space_group_name_H-M 'R -3 m'
_symmetry_Int_Tables_number 166
_symmetry_space_group_name_Hall '-R 3 2"'
loop_
_atom_site_label
_atom_site_fract_x
_atom_site_fract_y
_atom_site_fract_z
Pu1 0.0000 0.0000 0.0000
Np1 0.0000 0.0000 0.5000
H1 0.0000 0.0000 0.1009
```

Output
Calculated volume   13.97 A^3/atom
Distance to the lowest polymorph of the same formula   69.5 meV/atom

---

Entry 6:
This record from Alexandria describes an optimized crystal structure of PuNpH2. The functional is PBE-GGA.

```
data_PuNpH2
_cell_length_a 2.9947
_cell_length_b 2.9947
_cell_length_c 20.2172
_cell_angle_alpha 90.00
_cell_angle_beta 90.00
_cell_angle_gamma 120.00
_symmetry_space_group_name_H-M 'R 3 m'
_symmetry_Int_Tables_number 160
_symmetry_space_group_name_Hall 'R 3 -2"'
loop_
_atom_site_label
_atom_site_fract_x
_atom_site_fract_y
_atom_site_fract_z
Pu1 0.0000 0.0000 0.0000
Np1 0.0000 0.0000 0.8288
H1 0.0000 0.0000 0.4156
H2 0.0000 0.0000 0.5807
```

Output
Calculated volume   13.08 A^3/atom
Distance to the lowest polymorph of the same formula   0.0 meV/atom

---

Entry 7:
This record from Alexandria describes an optimized crystal structure of Pu2NpH12Rh3. The functional is PBE-GGA.

```
data_Pu2NpH12Rh3
_cell_length_a 6.5214
_cell_length_b 6.5214
_cell_length_c 14.3508
_cell_angle_alpha 90.00
_cell_angle_beta 90.00
_cell_angle_gamma 120.00
_symmetry_space_group_name_H-M 'R -3 m'
_symmetry_Int_Tables_number 166
_symmetry_space_group_name_Hall '-R 3 2"'
loop_
_atom_site_label
_atom_site_fract_x
_atom_site_fract_y
_atom_site_fract_z
Pu1 0.0000 0.0000 0.1056
Np1 0.0000 0.0000 0.5000
H1 0.0512 0.5256 0.8822
H2 0.0543 0.5272 0.3123
Rh1 0.0000 0.5000 0.0000
```

Output
Raw total energy   -322.10 eV per cell
Calculated volume   9.79 A^3/atom

---

Entry 8:
This record from Alexandria describes an optimized crystal structure of RbNpHS3. The functional is PBE-GGA.

```
data_RbNpHS3
_cell_length_a 8.9023
_cell_length_b 3.7224
_cell_length_c 9.4525
_cell_angle_alpha 90.00
_cell_angle_beta 100.78
_cell_angle_gamma 90.00
_symmetry_space_group_name_H-M 'P 1 21/m 1'
_symmetry_Int_Tables_number 11
_symmetry_space_group_name_Hall '-P 2yb'
loop_
_atom_site_label
_atom_site_fract_x
_atom_site_fract_y
_atom_site_fract_z
Rb1 0.1662 0.2500 0.2652
Np1 0.3344 0.7500 0.8546
H1 0.2530 0.2500 0.5916
S1 0.1420 0.2500 0.8941
S2 0.2456 0.7500 0.5740
S3 0.4472 0.7500 0.1429
```

Output
Raw total energy   -69.79 eV per cell
Calculated volume   25.64 A^3/atom

---

Entry 9:
This record from Alexandria describes an optimized crystal structure of Rb2NpH2Se4. The functional is PBE-GGA.

```
data_Rb2NpH2Se4
_cell_length_a 16.5171
_cell_length_b 4.2025
_cell_length_c 8.0062
_cell_angle_alpha 90.00
_cell_angle_beta 111.67
_cell_angle_gamma 90.00
_symmetry_space_group_name_H-M 'C 1 2/m 1'
_symmetry_Int_Tables_number 12
_symmetry_space_group_name_Hall '-C 2y'
loop_
_atom_site_label
_atom_site_fract_x
_atom_site_fract_y
_atom_site_fract_z
Rb1 0.1350 0.0000 0.0952
Np1 0.0000 0.0000 0.5000
H1 0.2221 0.0000 0.5412
Se1 0.0084 0.5000 0.2705
Se2 0.1885 0.0000 0.6899
```

Output
Raw total energy   -85.11 eV per cell
Calculated volume   28.69 A^3/atom

---

Entry 10:
This record from Alexandria describes an optimized crystal structure of NpReH6. The functional is PBE-GGA.

```
data_NpReH6
_cell_length_a 7.4915
_cell_length_b 4.3327
_cell_length_c 4.5788
_cell_angle_alpha 90.00
_cell_angle_beta 123.18
_cell_angle_gamma 90.00
_symmetry_space_group_name_H-M 'C 1 2/m 1'
_symmetry_Int_Tables_number 12
_symmetry_space_group_name_Hall '-C 2y'
loop_
_atom_site_label
_atom_site_fract_x
_atom_site_fract_y
_atom_site_fract_z
Np1 0.0000 0.0000 0.0000
Re1 0.0000 0.5000 0.5000
H1 0.1032 0.5000 0.2394
H2 0.1816 0.2143 0.7608
```

Output
Raw total energy   -90.49 eV per cell
Calculated volume   7.77 A^3/atom

---

Entry 11:
This record from Alexandria describes an optimized crystal structure of Np3H2Rh9. The functional is PBE-GGA.

```
data_Np3H2Rh9
_cell_length_a 5.7382
_cell_length_b 5.7382
_cell_length_c 7.0503
_cell_angle_alpha 90.00
_cell_angle_beta 90.00
_cell_angle_gamma 120.00
_symmetry_space_group_name_H-M 'P -3 m 1'
_symmetry_Int_Tables_number 164
_symmetry_space_group_name_Hall '-P 3 2"'
loop_
_atom_site_label
_atom_site_fract_x
_atom_site_fract_y
_atom_site_fract_z
Np1 0.0000 0.0000 0.0000
Np2 0.3333 0.6667 0.3379
H1 0.3333 0.6667 0.8299
Rh1 0.0000 0.5000 0.0000
Rh2 0.1651 0.3302 0.6665
```

Output
Raw total energy   -116.64 eV per cell
Calculated volume   14.36 A^3/atom

---

Entry 12:
This record from Alexandria describes an optimized crystal structure of NpH3Rh2. The functional is PBE-GGA.

```
data_NpH3Rh2
_cell_length_a 7.5265
_cell_length_b 3.3983
_cell_length_c 9.9024
_cell_angle_alpha 90.00
_cell_angle_beta 90.00
_cell_angle_gamma 90.00
_symmetry_space_group_name_H-M 'P n m a'
_symmetry_Int_Tables_number 62
_symmetry_space_group_name_Hall '-P 2ac 2n'
loop_
_atom_site_label
_atom_site_fract_x
_atom_site_fract_y
_atom_site_fract_z
Np1 0.1929 0.2500 0.0980
H1 0.0144 0.7500 0.0614
H2 0.0557 0.7500 0.4489
H3 0.0577 0.7500 0.7507
Rh1 0.1037 0.2500 0.4011
Rh2 0.1373 0.2500 0.7838
```

Output
Raw total energy   -154.06 eV per cell
Calculated volume   10.55 A^3/atom

---

Entry 13:
This record from Alexandria describes an optimized crystal structure of Np2HRh6. The functional is PBE-GGA.

```
data_Np2HRh6
_cell_length_a 8.1056
_cell_length_b 8.1056
_cell_length_c 8.1056
_cell_angle_alpha 90.00
_cell_angle_beta 90.00
_cell_angle_gamma 90.00
_symmetry_space_group_name_H-M 'F m -3 m'
_symmetry_Int_Tables_number 225
_symmetry_space_group_name_Hall '-F 4 2 3'
loop_
_atom_site_label
_atom_site_fract_x
_atom_site_fract_y
_atom_site_fract_z
Np1 0.2500 0.2500 0.2500
H1 0.0000 0.0000 0.0000
Rh1 0.0000 0.0000 0.2516
```

Output
Raw total energy   -306.53 eV per cell
Calculated volume   14.79 A^3/atom

---

Entry 14:
This record from Alexandria describes an optimized crystal structure of NpH12Rh6. The functional is PBE-GGA.

```
data_NpH12Rh6
_cell_length_a 8.7498
_cell_length_b 8.7498
_cell_length_c 6.9770
_cell_angle_alpha 90.00
_cell_angle_beta 90.00
_cell_angle_gamma 120.00
_symmetry_space_group_name_H-M 'R -3'
_symmetry_Int_Tables_number 148
_symmetry_space_group_name_Hall '-R 3'
loop_
_atom_site_label
_atom_site_fract_x
_atom_site_fract_y
_atom_site_fract_z
Np1 0.0000 0.0000 0.0000
H1 0.0399 0.2766 0.9101
H2 0.0646 0.2113 0.3911
Rh1 0.0784 0.2407 0.6581
```

Output
Raw total energy   -295.44 eV per cell
Calculated volume   8.12 A^3/atom

---

Entry 15:
This record from Alexandria describes an optimized crystal structure of NpH8Rh5. The functional is PBE-GGA.

```
data_NpH8Rh5
_cell_length_a 4.6592
_cell_length_b 5.2562
_cell_length_c 5.9159
_cell_angle_alpha 114.05
_cell_angle_beta 93.86
_cell_angle_gamma 110.35
_symmetry_space_group_name_H-M 'P 1'
_symmetry_Int_Tables_number 1
_symmetry_space_group_name_Hall 'P 1'
loop_
_atom_site_label
_atom_site_fract_x
_atom_site_fract_y
_atom_site_fract_z
Np1 0.0000 0.0000 0.0000
H1 0.2472 0.3728 0.8178
H2 0.3315 0.0529 0.3668
H3 0.3456 0.4834 0.3442
H4 0.5136 0.0526 0.9852
H5 0.6514 0.9502 0.6465
H6 0.6716 0.5266 0.6689
H7 0.7253 0.0096 0.3192
H8 0.9025 0.5708 0.1698
Rh1 0.0055 0.9843 0.5130
Rh2 0.3202 0.6614 0.6743
Rh3 0.3234 0.6725 0.1568
Rh4 0.6404 0.3195 0.8463
Rh5 0.6656 0.3384 0.3413
```

Output
Raw total energy   -77.61 eV per cell
Calculated volume   8.59 A^3/atom

---

Entry 16:
This record from Alexandria describes an optimized crystal structure of NpHRh6. The functional is PBE-GGA.

```
data_NpHRh6
_cell_length_a 5.4463
_cell_length_b 5.4463
_cell_length_c 13.8636
_cell_angle_alpha 90.00
_cell_angle_beta 90.00
_cell_angle_gamma 120.00
_symmetry_space_group_name_H-M 'R -3 m'
_symmetry_Int_Tables_number 166
_symmetry_space_group_name_Hall '-R 3 2"'
loop_
_atom_site_label
_atom_site_fract_x
_atom_site_fract_y
_atom_site_fract_z
Np1 0.0000 0.0000 0.0000
H1 0.0000 0.0000 0.5000
Rh1 0.0162 0.5081 0.9087
```

Output
Raw total energy   -180.29 eV per cell
Calculated volume   14.84 A^3/atom

---

Entry 17:
This record from Alexandria describes an optimized crystal structure of NpHRh. The functional is PBE-GGA.

```
data_NpHRh
_cell_length_a 3.8119
_cell_length_b 3.8119
_cell_length_c 3.5545
_cell_angle_alpha 90.00
_cell_angle_beta 90.00
_cell_angle_gamma 120.00
_symmetry_space_group_name_H-M 'P -6 m 2'
_symmetry_Int_Tables_number 187
_symmetry_space_group_name_Hall 'P -6 2'
loop_
_atom_site_label
_atom_site_fract_x
_atom_site_fract_y
_atom_site_fract_z
Np1 0.0000 0.0000 0.0000
H1 0.3333 0.6667 0.5000
Rh1 0.6667 0.3333 0.5000
```

Output
Calculated volume   14.91 A^3/atom
Distance to the lowest polymorph of the same formula   185.2 meV/atom

---

Entry 18:
This record from Alexandria describes an optimized crystal structure of NpH4Rh2. The functional is PBE-GGA.

```
data_NpH4Rh2
_cell_length_a 5.1471
_cell_length_b 5.1597
_cell_length_c 5.6331
_cell_angle_alpha 90.00
_cell_angle_beta 90.31
_cell_angle_gamma 90.00
_symmetry_space_group_name_H-M 'C 1 2/m 1'
_symmetry_Int_Tables_number 12
_symmetry_space_group_name_Hall '-C 2y'
loop_
_atom_site_label
_atom_site_fract_x
_atom_site_fract_y
_atom_site_fract_z
Np1 0.0000 0.0000 0.0000
H1 0.2487 0.2497 0.7166
Rh1 0.0007 0.5000 0.2636
```

Output
Raw total energy   -84.00 eV per cell
Calculated volume   10.69 A^3/atom

---

Entry 19:
This record from Alexandria describes an optimized crystal structure of NpH3Rh. The functional is PBE-GGA.

```
data_NpH3Rh
_cell_length_a 3.6863
_cell_length_b 3.6863
_cell_length_c 3.6863
_cell_angle_alpha 90.00
_cell_angle_beta 90.00
_cell_angle_gamma 90.00
_symmetry_space_group_name_H-M 'P m -3 m'
_symmetry_Int_Tables_number 221
_symmetry_space_group_name_Hall '-P 4 2 3'
loop_
_atom_site_label
_atom_site_fract_x
_atom_site_fract_y
_atom_site_fract_z
Np1 0.0000 0.0000 0.0000
H1 0.0000 0.5000 0.5000
Rh1 0.5000 0.5000 0.5000
```

Output
Raw total energy   -31.51 eV per cell
Calculated volume   10.02 A^3/atom

---

Entry 20:
This record from Alexandria describes an optimized crystal structure of NpHRh3. The functional is PBE-GGA.

```
data_NpHRh3
_cell_length_a 4.0801
_cell_length_b 4.0801
_cell_length_c 4.0801
_cell_angle_alpha 90.00
_cell_angle_beta 90.00
_cell_angle_gamma 90.00
_symmetry_space_group_name_H-M 'P m -3 m'
_symmetry_Int_Tables_number 221
_symmetry_space_group_name_Hall '-P 4 2 3'
loop_
_atom_site_label
_atom_site_fract_x
_atom_site_fract_y
_atom_site_fract_z
Np1 0.0000 0.0000 0.0000
H1 0.5000 0.5000 0.5000
Rh1 0.0000 0.5000 0.5000
```

Output
Raw total energy   -40.04 eV per cell
Calculated volume   13.58 A^3/atom

---

Entry 21:
This record from Alexandria describes an optimized crystal structure of NpH6Rh. The functional is PBE-GGA.

```
data_NpH6Rh
_cell_length_a 4.4373
_cell_length_b 4.4373
_cell_length_c 11.6264
_cell_angle_alpha 90.00
_cell_angle_beta 90.00
_cell_angle_gamma 120.00
_symmetry_space_group_name_H-M 'R -3 m'
_symmetry_Int_Tables_number 166
_symmetry_space_group_name_Hall '-R 3 2"'
loop_
_atom_site_label
_atom_site_fract_x
_atom_site_fract_y
_atom_site_fract_z
Np1 0.0000 0.0000 0.0000
H1 0.0256 0.5128 0.9139
Rh1 0.0000 0.0000 0.5000
```

Output
Raw total energy   -125.20 eV per cell
Calculated volume   8.26 A^3/atom

---

Entry 22:
This record from Alexandria describes an optimized crystal structure of NpH4Rh3. The functional is PBE-GGA.

```
data_NpH4Rh3
_cell_length_a 4.9123
_cell_length_b 4.9123
_cell_length_c 4.9123
_cell_angle_alpha 90.00
_cell_angle_beta 90.00
_cell_angle_gamma 90.00
_symmetry_space_group_name_H-M 'P -4 3 m'
_symmetry_Int_Tables_number 215
_symmetry_space_group_name_Hall 'P -4 2 3'
loop_
_atom_site_label
_atom_site_fract_x
_atom_site_fract_y
_atom_site_fract_z
Np1 0.0000 0.0000 0.0000
H1 0.2630 0.2630 0.2630
Rh1 0.0000 0.0000 0.5000
```

Output
Raw total energy   -43.17 eV per cell
Calculated volume   14.82 A^3/atom